Material: Ba7Na12P
Method: DFT, GGA-PBE
State: relaxed

Results
E_tot = -1.735 eV/atom
space group = R-3

Unit cell a=6.949 b=12.760 c=12.760 alpha=116.78 beta=100.46 gamma=100.46
Fractional positions:
Ba 0.119 0.766 0.000
Ba 0.881 0.000 0.235
Ba 0.647 0.765 0.766
Ba 0.500 0.000 0.000
Ba 0.353 0.235 0.234
Ba 0.119 0.000 0.765
Ba 0.881 0.234 0.000
Na 0.097 0.597 0.195
Na 0.097 0.195 0.598
Na 0.579 0.630 0.000
Na 0.421 0.000 0.371
Na 0.499 0.402 0.597
Na 0.051 0.629 0.630
Na 0.949 0.371 0.370
Na 0.501 0.598 0.403
Na 0.579 0.000 0.629
Na 0.421 0.370 0.000
Na 0.903 0.805 0.402
Na 0.903 0.403 0.805
P 0.000 0.000 0.000

Material: Ba3NaP4
Method: DFT, GGA-PBE
State: relaxed

Results
E_tot = -4.399 eV/atom
space group = Immm

Unit cell a=4.744 b=6.165 c=9.413 alpha=109.11 beta=104.60 gamma=90.00
Fractional positions:
Na 0.500 0.000 0.000
Ba 0.194 0.194 0.389
Ba 0.806 0.806 0.611
Ba 0.000 0.500 0.000
P 0.375 0.553 0.750
P 0.625 0.447 0.250
P 0.625 0.803 0.250
P 0.375 0.197 0.750

Material: Ba2NaP2
Method: DFT, GGA-PBE
State: relaxed

Results
E_tot = -3.624 eV/atom
space group = I4/mmm

Unit cell a=6.143 b=6.143 c=6.315 alpha=60.90 beta=60.90 gamma=90.00
Fractional positions:
P 0.374 0.374 0.251
P 0.626 0.626 0.749
Ba 0.750 0.250 0.500
Ba 0.250 0.750 0.500
Na 0.000 0.000 0.000

Material: Ba2NaP2
Method: DFT, GGA-PBE
State: relaxed

Results
E_tot = -3.890 eV/atom
space group = Immm

Unit cell a=4.912 b=6.175 c=6.170 alpha=64.16 beta=66.55 gamma=66.55
Fractional positions:
Ba 0.288 0.212 0.712
Ba 0.712 0.788 0.288
Na 0.500 0.500 0.000
P 0.000 0.174 0.326
P 0.000 0.826 0.674

Material: Ba2NaP2
Method: DFT, GGA-PBE
State: relaxed

Results
E_tot = -3.833 eV/atom
space group = P4/mbm

Unit cell a=8.877 b=8.877 c=4.054 alpha=90.00 beta=90.00 gamma=90.00
Site moments in Bohr magnetons follow the coordinates.
Fractional positions:
P 0.335 0.835 0.000  0.05
P 0.835 0.665 0.000  0.06
P 0.665 0.165 0.000  0.06
P 0.165 0.335 0.000  0.06
Ba 0.139 0.639 0.500  0.01
Ba 0.639 0.861 0.500  0.01
Ba 0.861 0.361 0.500  0.01
Ba 0.361 0.139 0.500  0.01
Na 0.000 0.000 0.000  0.00
Na 0.500 0.500 0.000  0.00

Material: BaNaP
Method: DFT, GGA-PBE
State: relaxed

Results
E_tot = -3.632 eV/atom
space group = P4/nmm

Unit cell a=4.683 b=4.683 c=7.931 alpha=90.01 beta=90.01 gamma=90.00
Fractional positions:
Ba 0.250 0.250 0.343
Ba 0.750 0.750 0.657
Na 0.750 0.250 0.000
Na 0.250 0.750 0.000
P 0.750 0.750 0.242
P 0.250 0.250 0.758

Material: BaNaP
Method: DFT, GGA-PBE
State: relaxed

Results
E_tot = -3.656 eV/atom
space group = P-62m

Unit cell a=8.008 b=8.008 c=4.692 alpha=90.00 beta=90.00 gamma=120.00
Fractional positions:
Ba 0.000 0.588 0.500
Ba 0.588 0.000 0.500
Ba 0.412 0.412 0.500
Na 0.242 0.000 0.000
Na 0.758 0.758 0.000
Na 0.000 0.242 0.000
P 0.667 0.333 0.000
P 0.000 0.000 0.500
P 0.333 0.667 0.000

Material: Ba6NaP3
Method: DFT, GGA-PBE
State: relaxed

Results
E_tot = -3.618 eV/atom
space group = P2_1/m

Unit cell a=4.692 b=13.411 c=15.374 alpha=103.91 beta=90.00 gamma=90.00
Fractional positions:
Ba 0.750 0.530 0.620
Ba 0.250 0.470 0.380
Ba 0.750 0.939 0.099
Ba 0.250 0.061 0.901
Ba 0.750 0.380 0.014
Ba 0.250 0.620 0.986
Ba 0.750 0.644 0.245
Ba 0.250 0.356 0.755
Ba 0.750 0.211 0.476
Ba 0.250 0.789 0.524
Ba 0.750 0.763 0.827
Ba 0.250 0.237 0.173
Na 0.750 0.049 0.672
Na 0.250 0.951 0.328
P 0.750 0.516 0.847
P 0.250 0.484 0.153
P 0.750 0.633 0.449
P 0.250 0.367 0.551
P 0.750 0.150 0.038
P 0.250 0.850 0.962

Material: Ba4Na2P
Method: DFT, GGA-PBE
State: relaxed

Results
E_tot = -2.568 eV/atom
space group = C2/m

Unit cell a=4.685 b=7.974 c=10.118 alpha=103.87 beta=103.39 gamma=90.00
Fractional positions:
Ba 0.132 0.842 0.263
Ba 0.868 0.158 0.737
Ba 0.436 0.730 0.871
Ba 0.564 0.270 0.129
Na 0.240 0.341 0.480
Na 0.760 0.659 0.520
P 0.000 0.000 0.000

- Which of these has the lowest E_tot?
  Ba3NaP4

- Which formula does entry 5 have?
  Ba2NaP2

- Number 2 is which compound?
  Ba3NaP4